Entry 1:
VASP calculation (GGA-PBE) on a relaxed structure of HfMnGeIr.

Cell: 4.385 4.385 4.385 Å, 60.00 60.00 60.00°
Fractional coordinates of all 4 atoms:
Ge 0.500 0.500 0.500
Hf 0.000 0.000 0.000
Ir 0.250 0.250 0.250
Mn 0.750 0.750 0.750

Results
energy relative to the elements = -0.43 eV per atom

=====

Entry 2:
VASP calculation (GGA-PBE) on a relaxed structure of BaPmHg.

Cell: 4.487 5.390 5.390 Å, 120.00 90.00 90.00°
Fractional coordinates of all 3 atoms:
Ba 0.666 0.667 0.333
Hg 0.167 0.333 0.667
Pm 0.166 0.000 0.000

Results
relative energy among the computed polymorphs = 0.111 eV per atom
energy relative to the elements = -0.15 eV per atom

=====

Entry 3:
VASP calculation (GGA-PBE) on a relaxed structure of PrZn2Ag.

Cell: 3.425 3.425 7.048 Å, 90.00 90.00 90.00°
Fractional coordinates of all 4 atoms:
Pr 0.500 0.500 0.500
Ag 0.500 0.500 0.000
Zn 0.000 0.000 0.201
Zn 0.000 0.000 0.799

Results
energy relative to the elements = -0.15 eV per atom

=====

Entry 4:
VASP calculation (GGA-PBE) on a relaxed structure of Rb2CeAsSe4.

Cell: 8.874 8.873 8.905 Å, 120.11 120.12 89.56°
Last column: magnetic moment on the atom in μB.
Fractional coordinates of all 16 atoms:
Rb 0.500 0.000 0.500  0.00
Ce 0.000 0.500 0.000  0.79
Se 0.236 0.264 0.047  -0.01
Se 0.764 0.736 0.547  -0.01
Se 0.756 0.305 0.531  -0.01
Se 0.244 0.695 0.469  -0.01
Se 0.805 0.256 0.031  -0.01
Rb 0.000 0.000 0.500  0.00
As 0.500 0.500 0.500  0.02
Se 0.236 0.264 0.453  -0.01
Rb 0.500 0.000 0.000  0.00
Ce 0.000 0.500 0.500  0.79
As 0.000 0.000 0.000  0.02
Se 0.764 0.736 0.953  -0.01
Se 0.195 0.744 0.969  -0.01
Rb 0.500 0.500 0.000  0.00

Results
E_tot = -4.33 eV per atom

=====

What did the second record say?
VASP calculation (GGA-PBE) on a relaxed structure of BaPmHg.

Cell: 4.487 5.390 5.390 Å, 120.00 90.00 90.00°
Fractional coordinates of all 3 atoms:
Ba 0.666 0.667 0.333
Hg 0.167 0.333 0.667
Pm 0.166 0.000 0.000

Results
relative energy among the computed polymorphs = 0.111 eV per atom
energy relative to the elements = -0.15 eV per atom

=====

- Number 3 is which compound?
  PrZn2Ag